VASP calculation (PBE-GGA) on Ac2CePm3Se6 after structural relaxation.

POSCAR file:
```
Ac2CePm3Se6
1.0
4.264 0.000 0.000
0.000 8.644 0.287
-2.132 -2.513 9.019
Se Ac Ce Pm
6 2 1 3
Cartesian
2.132 -0.336 8.994 Se
0.000 6.343 6.286 Se
0.000 6.467 0.312 Se
2.132 -0.212 3.020 Se
0.000 1.815 6.187 Se
2.132 4.316 3.119 Se
2.132 4.095 6.241 Ac
0.000 2.036 3.065 Ac
2.132 0.000 0.000 Ce
0.000 6.389 3.276 Pm
2.132 4.322 0.143 Pm
2.132 -0.258 6.030 Pm
```

Values from the calculation:
DFT total energy (eV per atom): -5.9414
Size of the total moment (μB per cell): 1.26
Space group: No. 12
Fermi-level density of states (states/eV/atom): 0.95